The following is a PBE calculation of crystalline GaOs2Cl2 at its relaxed geometry, from Alexandria.

Values from the calculation:
N(E_F): 0.80 states/eV per atom
E_tot: -22.9 eV/f.u.
Energy relative to the elements, uncorrected: 1.25 eV per atom
Energy relative to the lowest polymorph listed for this composition: 317 meV/atom

```
data_GaOs2Cl2
_cell_length_a 4.0556
_cell_length_b 4.0556
_cell_length_c 11.2425
_cell_angle_alpha 90.00
_cell_angle_beta 90.00
_cell_angle_gamma 90.00
_symmetry_space_group_name_H-M 'I 4/m m m'
_symmetry_Int_Tables_number 139
_symmetry_space_group_name_Hall '-I 4 2'
loop_
_atom_site_label
_atom_site_type_symbol
_atom_site_fract_x
_atom_site_fract_y
_atom_site_fract_z
_atom_site_occupancy
Ga1 Ga 0.0000 0.0000 0.0000 1
Os1 Os 0.0000 0.5000 0.2500 1
Cl1 Cl 0.0000 0.0000 0.3649 1
```